VASP calculation (PBE) on MgZrSiOs after structural relaxation.

abc: 6.3544 6.3544 6.3544
angles: 90.00 90.00 90.00
Last column: nearest neighbours and their distance in Å.
Space group F-43m (No. 216)
Inequivalent atoms, fractional coordinates:
Mg (0.0000, 0.0000, 0.0000) [4 per cell]  4 Zr 2.75, 4 Os 2.75
Zr (0.2500, 0.2500, 0.7500) [4 per cell]  4 Si 2.75, 4 Mg 2.75
Si (0.0000, 0.0000, 0.5000) [4 per cell]  4 Os 2.75, 4 Zr 2.75
Os (0.2500, 0.2500, 0.2500) [4 per cell]  4 Mg 2.75, 4 Si 2.75

Summary:
* calculated density: 8.6 Mg/m³
* relative energy among the computed polymorphs: 0.229 eV/atom

---

VASP calculation (PBE) on DySbMo after structural relaxation.

abc: 6.6437 6.6437 6.6437
angles: 90.00 90.00 90.00
Last column: nearest neighbours and their distance in Å.
Space group F-43m (No. 216)
Inequivalent atoms, fractional coordinates:
Dy (0.0000, 0.0000, 0.0000) [4 per cell]  4 Mo 2.88
Sb (0.0000, 0.0000, 0.5000) [4 per cell]  4 Mo 2.88
Mo (0.2500, 0.2500, 0.2500) [4 per cell]  4 Dy 2.88, 4 Sb 2.88

Summary:
* energy: -6.285 eV per atom
* calculated density: 8.6 Mg/m³

---

VASP calculation (PBE) on LiGeTeAuSe2 after structural relaxation.

abc: 3.5841 14.1902 11.0262
angles: 90.00 90.00 90.00
Last column: nearest neighbours and their distance in Å.
Space group Cmcm (No. 63)
Inequivalent atoms, fractional coordinates:
Li (0.0000, 0.2176, 0.2500) [4 per cell]  2 Au 2.72, 2 Te 2.88
Ge (0.0000, 0.5000, 0.0000) [4 per cell]  4 Se 2.64, 2 Te 2.88
Te (0.0000, 0.4414, 0.7500) [4 per cell]  2 Ge 2.88, 2 Li 2.88
Au (0.0000, 0.1384, 0.7500) [4 per cell]  2 Se 2.46, 2 Li 2.72
Se (0.0000, 0.1348, 0.5268) [8 per cell]  1 Au 2.46, 2 Ge 2.64

Summary:
* energy: -3.604 eV per atom
* calculated density: 6.7 Mg/m³

---

VASP calculation (PBE) on Cu2Ag3 after structural relaxation.

abc: 2.8360 3.7957 14.3968
angles: 90.00 90.00 90.00
Last column: nearest neighbours and their distance in Å.
Space group Pmmn (No. 59, origin choice 2)
Inequivalent atoms, fractional coordinates:
Cu (0.2500, 0.2500, 0.1512) [2 per cell]  5 Ag 2.63-2.74, 6 Cu 2.68-2.84
Cu (0.2500, 0.2500, 0.7622) [2 per cell]  5 Ag 2.63-2.74, 6 Cu 2.68-2.84
Ag (0.2500, 0.2500, 0.3338) [2 per cell]  5 Cu 2.63-2.74, 6 Ag 2.84-2.85
Ag (0.2500, 0.2500, 0.5556) [2 per cell]  10 Ag 2.84-2.86, 1 Cu 2.97
Ag (0.2500, 0.2500, 0.9447) [2 per cell]  5 Cu 2.63-2.74, 6 Ag 2.84-2.85

Summary:
* ΔH_f (0 K): 0.08 eV per atom
* calculated density: 9.7 Mg/m³
* relative energy among the computed polymorphs: 0.051 eV/atom

---

VASP calculation (PBE) on RbNdTe3As after structural relaxation.

abc: 4.6442 17.7220 11.0394
angles: 90.00 90.00 90.00
Last column: nearest neighbours and their distance in Å.
Space group Cmcm (No. 63)
Inequivalent atoms, fractional coordinates:
Rb (0.0000, 0.2386, 0.2500) [4 per cell]  8 Te 3.74-4.11
Nd (0.0000, 0.0000, 0.0000) [4 per cell]  6 Te 3.23-3.24
Te (0.0000, 0.0962, 0.7500) [4 per cell]  2 Nd 3.24, 2 As 3.29
Te (0.0000, 0.3770, 0.5486) [8 per cell]  1 As 2.71
As (0.0000, 0.4645, 0.7500) [4 per cell]  2 Te 2.71

Summary:
* energy: -4.044 eV per atom
* calculated density: 5.0 Mg/m³

---

VASP calculation (PBE) on NbFeSiTc after structural relaxation.

abc: 6.0175 6.0175 6.0175
angles: 90.00 90.00 90.00
Last column: nearest neighbours and their distance in Å.
Space group F-43m (No. 216)
Inequivalent atoms, fractional coordinates:
Nb (0.0000, 0.0000, 0.0000) [4 per cell]  4 Fe 2.61, 4 Tc 2.61
Fe (0.2500, 0.2500, 0.7500) [4 per cell]  4 Nb 2.61, 4 Si 2.61
Si (0.0000, 0.0000, 0.5000) [4 per cell]  4 Fe 2.61, 4 Tc 2.61
Tc (0.2500, 0.2500, 0.2500) [4 per cell]  4 Nb 2.61, 4 Si 2.61

Summary:
* calculated density: 8.4 Mg/m³
* relative energy among the computed polymorphs: 0.000 eV/atom

---

VASP calculation (PBE) on TbDyTlPd2 after structural relaxation.

abc: 3.6687 4.1245 15.1020
angles: 90.00 90.00 90.00
Last column: nearest neighbours and their distance in Å.
Space group Amm2 (No. 38)
Inequivalent atoms, fractional coordinates:
Tb (0.0000, 0.0000, 0.0000) [2 per cell]  6 Pd 2.89-3.23
Dy (0.0000, 0.0000, 0.7317) [2 per cell]  6 Pd 2.89-3.22
Tl (0.5000, 0.0000, 0.3659) [2 per cell]  2 Pd 2.87-2.88
Pd (0.5000, 0.0000, 0.1759) [2 per cell]  2 Pd 2.74, 1 Tl 2.87, 4 Dy 2.89
Pd (0.5000, 0.0000, 0.5568) [2 per cell]  2 Pd 2.74, 1 Tl 2.88, 4 Tb 2.89

Summary:
* energy: -5.158 eV per atom
* calculated density: 10.7 Mg/m³

---

VASP calculation (PBE) on Co2As after structural relaxation.

abc: 3.8963 3.8963 2.7428
angles: 90.00 90.00 120.00
Last column: nearest neighbours and their distance in Å.
Space group P-6m2 (No. 187)
Inequivalent atoms, fractional coordinates:
Co (0.0000, 0.0000, 0.0000) [1 per cell]  3 As 2.25
Co (0.3333, 0.6667, 0.5000) [1 per cell]  8 Co 2.63-2.74, 6 As 2.63
As (0.6667, 0.3333, 0.0000) [1 per cell]  3 Co 2.25

Summary:
* energy: -6.235 eV per atom
* calculated density: 8.9 Mg/m³